1.
Er5Cu2Hg after structural relaxation, computed with PBE.

Summary:
VASP energy: -66.48 eV for the cell shown
DFT formation energy: -0.242 eV per atom

Structure (POSCAR):
```
Er5Cu2Hg
1.0
7.8080 0.0000 0.0000
0.0000 7.8080 0.0000
-3.9040 -3.9040 6.3911
Cu Er Hg
4 10 2
Direct
0.6281 0.1281 0.0000
0.1281 0.3719 0.0000
0.8719 0.6281 0.0000
0.3719 0.8719 0.0000
0.4839 0.2996 0.2835
0.2996 0.7996 0.2835
0.5161 0.7004 0.7165
0.2004 0.0161 0.7165
0.0000 0.0000 0.0000
0.5000 0.5000 0.0000
0.9839 0.4839 0.2835
0.7996 0.9839 0.2835
0.0161 0.5161 0.7165
0.7004 0.2004 0.7165
0.2500 0.2500 0.5000
0.7500 0.7500 0.5000
```

=====

2.
Er3CuHg after structural relaxation, computed with PBE.

Summary:
VASP energy: -37.62 eV for the cell shown
DFT formation energy: -0.145 eV per atom

Structure (POSCAR):
```
Er3CuHg
1.0
4.8295 0.0000 0.0000
0.0000 7.8651 -0.0011
0.0000 -3.9314 6.8121
Hg Er Cu
2 6 2
Direct
0.7500 0.6665 0.3335
0.2500 0.3335 0.6665
0.7500 0.1889 0.3775
0.7500 0.1888 0.8112
0.2500 0.8111 0.6225
0.7500 0.6225 0.8111
0.2500 0.8112 0.1888
0.2500 0.3775 0.1889
0.5000 0.0000 0.0000
0.0000 0.0000 0.0000
```

=====

3.
Er7Cu2Hg2 after structural relaxation, computed with PBE.

Summary:
VASP energy: -41.56 eV for the cell shown
DFT formation energy: -0.075 eV per atom

Structure (POSCAR):
```
Er7Cu2Hg2
1.0
-1.1889 -6.6278 -0.3079
6.2630 -0.9840 -2.9987
3.0272 1.4614 5.8426
Cu Er Hg
2 7 2
Direct
0.7014 0.0000 0.2986
0.2986 0.0000 0.7014
0.4997 0.2567 0.0002
0.0000 0.0000 0.0000
0.5003 0.7433 0.9998
0.0002 0.7433 0.4997
0.9998 0.2567 0.5003
0.4998 0.2444 0.5002
0.5002 0.7556 0.4998
0.1824 0.5000 0.1824
0.8176 0.5000 0.8176
```

=====

4.
Er6CuHg5 after structural relaxation, computed with PBE.

Summary:
VASP energy: -38.18 eV for the cell shown
DFT formation energy: -0.433 eV per atom

Structure (POSCAR):
```
Er6CuHg5
1.0
-1.7167 0.9768 -4.7622
4.8066 -4.8475 -2.7272
-6.1226 -5.1486 -1.6396
Er Hg Cu
6 5 1
Direct
0.1621 0.2447 0.6757
0.1622 0.7553 0.6757
0.8379 0.7553 0.3243
0.5000 0.7605 0.0000
0.5000 0.2395 0.0000
0.8378 0.2447 0.3243
0.3322 0.5000 0.3357
0.0000 0.5000 0.0000
0.6678 0.5000 0.6643
0.6668 0.0000 0.6664
0.3332 0.0000 0.3336
0.0000 0.0000 0.0000
```

=====

5.
Er5Cu2Hg2 after structural relaxation, computed with PBE.

Summary:
VASP energy: -68.49 eV for the cell shown
DFT formation energy: -0.293 eV per atom

Structure (POSCAR):
```
Er5Cu2Hg2
1.0
-6.7373 2.0634 -1.5716
-2.1842 -6.8552 0.3631
-0.5365 4.3827 8.0541
Hg Er Cu
4 10 4
Direct
0.0000 0.7772 0.5545
0.0000 0.2228 0.4455
0.5000 0.7228 0.4455
0.5000 0.2772 0.5545
0.3254 0.6915 0.7408
0.8254 0.5492 0.7408
0.6746 0.0492 0.7408
0.5000 0.5000 0.0000
0.3254 0.9508 0.2592
0.1746 0.4508 0.2592
0.6746 0.3085 0.2592
0.8254 0.8085 0.2592
0.1746 0.1915 0.7408
0.0000 0.0000 0.0000
0.8772 0.3780 0.0000
0.1228 0.6220 0.0000
0.6228 0.8780 0.0000
0.3772 0.1220 0.0000
```

=====

6.
ErCuHg6 after structural relaxation, computed with PBE.

Summary:
VASP energy: -8.43 eV for the cell shown
DFT formation energy: 0.255 eV per atom

Structure (POSCAR):
```
ErCuHg6
1.0
5.9858 0.0000 1.3372
2.8436 5.2673 1.3372
1.2509 0.7462 8.4668
Hg Cu Er
6 1 1
Direct
0.9320 0.4438 0.6921
0.0680 0.0680 0.3079
0.5562 0.0680 0.3079
0.0680 0.5562 0.3079
0.4438 0.9320 0.6921
0.9320 0.9320 0.6921
0.5000 0.5000 0.5000
0.0000 0.0000 0.0000
```

=====

7.
Er3Cu2Hg3 after structural relaxation, computed with PBE.

Summary:
VASP energy: -25.67 eV for the cell shown
DFT formation energy: -0.361 eV per atom

Structure (POSCAR):
```
Er3Cu2Hg3
1.0
3.7536 0.0000 0.0000
0.0000 6.3917 -3.6902
0.0000 0.0000 7.3805
Er Cu Hg
3 2 3
Direct
0.5000 0.5913 0.0000
0.5000 0.0000 0.5913
0.5000 0.4087 0.4087
0.0000 0.6667 0.3333
0.0000 0.3333 0.6667
0.0000 0.2442 0.0000
0.0000 0.0000 0.2442
0.0000 0.7558 0.7558
```

=====

8.
Er2CuHg8 after structural relaxation, computed with PBE.

Summary:
VASP energy: -17.80 eV for the cell shown
DFT formation energy: -0.197 eV per atom

Structure (POSCAR):
```
Er2CuHg8
1.0
4.5598 0.0000 0.0000
0.0000 4.5598 0.0000
0.0000 0.0000 12.4895
Hg Er Cu
8 2 1
Direct
0.0000 0.5000 0.5000
0.5000 0.0000 0.5000
0.5000 0.0000 0.8742
0.0000 0.5000 0.1258
0.5000 0.0000 0.1258
0.0000 0.5000 0.8742
0.5000 0.5000 0.6854
0.5000 0.5000 0.3146
0.0000 0.0000 0.3033
0.0000 0.0000 0.6967
0.0000 0.0000 0.0000
```

=====

9.
Er6Cu5Hg after structural relaxation, computed with PBE.

Summary:
VASP energy: -51.73 eV for the cell shown
DFT formation energy: -0.297 eV per atom

Structure (POSCAR):
```
Er6Cu5Hg
1.0
4.6777 -0.0278 1.5589
0.0376 6.9743 0.0125
0.0073 -0.0139 7.7758
Cu Hg Er
5 1 6
Direct
0.3347 0.0000 0.3306
0.6653 0.0000 0.6694
0.3354 0.5000 0.3292
0.6646 0.5000 0.6708
0.0000 0.5000 0.0000
0.0000 0.0000 0.0000
0.1711 0.7449 0.6579
0.1710 0.2551 0.6579
0.8289 0.2551 0.3421
0.8290 0.7449 0.3421
0.5000 0.2613 0.0000
0.5000 0.7387 0.0000
```

=====

10.
Er4Cu2Hg5 after structural relaxation, computed with PBE.

Summary:
VASP energy: -31.91 eV for the cell shown
DFT formation energy: -0.360 eV per atom

Structure (POSCAR):
```
Er4Cu2Hg5
1.0
-0.8867 2.8364 2.1007
4.2227 -2.7677 5.5195
7.1113 4.9051 -3.6211
Hg Er Cu
5 4 2
Direct
0.0000 0.8408 0.8566
0.0000 0.5000 0.0000
0.0000 0.4402 0.6686
0.0000 0.1592 0.1434
0.0000 0.5598 0.3314
0.5000 0.2320 0.4308
0.5000 0.1829 0.8528
0.5000 0.7680 0.5692
0.5000 0.8171 0.1472
0.0000 0.0638 0.6260
0.0000 0.9362 0.3740
```

=====

11.
Er4CuHg after structural relaxation, computed with PBE.

Summary:
VASP energy: -45.81 eV for the cell shown
DFT formation energy: -0.043 eV per atom

Structure (POSCAR):
```
Er4CuHg
1.0
0.2360 3.7677 -5.6291
-1.0855 -5.9759 -4.0453
-6.8675 0.6137 0.9362
Cu Er Hg
2 8 2
Direct
0.5000 0.0000 0.5000
0.0000 0.5000 0.5000
0.3228 0.3338 0.3499
0.3943 0.8495 0.1662
0.8943 0.6505 0.1662
0.8228 0.1662 0.3499
0.6772 0.6662 0.6501
0.1057 0.3495 0.8338
0.6057 0.1505 0.8338
0.1772 0.8338 0.6501
0.0000 0.0000 0.0000
0.5000 0.5000 0.0000
```

=====

12.
Er2CuHg after structural relaxation, computed with PBE.

Summary:
VASP energy: -15.01 eV for the cell shown
DFT formation energy: -0.371 eV per atom

Structure (POSCAR):
```
Er2CuHg
1.0
-0.3231 -2.3325 2.5933
-0.1137 -2.5960 -2.3491
7.3795 -0.6369 0.3466
Er Hg Cu
2 1 1
Direct
0.0000 0.0000 0.7740
0.0000 0.0000 0.2260
0.5000 0.5000 0.5000
0.5000 0.5000 0.0000
```

=====

13.
Er2CuHg after structural relaxation, computed with PBE.

Summary:
VASP energy: -29.93 eV for the cell shown
DFT formation energy: -0.360 eV per atom

Structure (POSCAR):
```
Er2CuHg
1.0
3.5565 0.0000 0.0000
0.0000 5.0912 0.0000
0.0000 0.0000 10.0787
Hg Er Cu
2 4 2
Direct
0.5000 0.7500 0.6219
0.5000 0.2500 0.3781
0.0000 0.7500 0.8879
0.0000 0.2500 0.1121
0.0000 0.2500 0.6437
0.0000 0.7500 0.3563
0.5000 0.7500 0.1201
0.5000 0.2500 0.8799
```

=====

14.
HoErCuHg after structural relaxation, computed with PBE.

Summary:
VASP energy: -14.90 eV for the cell shown
E above lowest polymorph: 2.5 kJ per mole of atoms
DFT formation energy: -0.341 eV per atom

Structure (POSCAR):
```
HoErCuHg
1.0
5.0725 0.0000 0.0000
2.5362 4.3929 0.0000
2.5362 1.4643 4.1417
Hg Cu Ho Er
1 1 1 1
Direct
0.7500 0.7500 0.7500
0.2500 0.2500 0.2500
0.0000 0.0000 0.0000
0.5000 0.5000 0.5000
```

=====

15.
HoErCuHg after structural relaxation, computed with PBE.

Summary:
VASP energy: -15.01 eV for the cell shown
E above lowest polymorph: 0.0 kJ per mole of atoms
DFT formation energy: -0.367 eV per atom

Structure (POSCAR):
```
HoErCuHg
1.0
-2.1177 -1.1435 -2.5586
2.7844 -1.2224 -1.7583
-0.6720 -6.5254 3.4724
Ho Er Hg Cu
1 1 1 1
Direct
0.0000 0.0000 0.8335
0.0000 0.0000 0.3810
0.5000 0.5000 0.1088
0.5000 0.5000 0.6046
```

=====

16.
ErInCuHg after structural relaxation, computed with PBE.

Summary:
VASP energy: -12.72 eV for the cell shown
DFT formation energy: -0.255 eV per atom

Structure (POSCAR):
```
ErInCuHg
1.0
-3.4838 -1.9794 -2.8593
-1.2421 -4.7311 0.5515
-4.3754 -1.1886 1.9168
Er Hg Cu In
1 1 1 1
Direct
0.5000 0.5000 0.5000
0.2500 0.2500 0.2500
0.7500 0.7500 0.7500
0.0000 0.0000 0.0000
```

=====

17.
LiErCuHg after structural relaxation, computed with PBE.

Summary:
VASP energy: -11.74 eV for the cell shown
DFT formation energy: -0.218 eV per atom

Structure (POSCAR):
```
LiErCuHg
1.0
4.8271 0.0000 0.0000
2.4136 4.1804 0.0000
2.4136 1.3935 3.9413
Hg Er Cu Li
1 1 1 1
Direct
0.2500 0.2500 0.2500
0.5000 0.5000 0.5000
0.7500 0.7500 0.7500
0.0000 0.0000 0.0000
```

=====

18.
ErLuCuHg after structural relaxation, computed with PBE.

Summary:
VASP energy: -14.87 eV for the cell shown
DFT formation energy: -0.347 eV per atom

Structure (POSCAR):
```
ErLuCuHg
1.0
5.0317 0.0000 0.0000
2.5158 4.3576 0.0000
2.5158 1.4525 4.1083
Cu Er Hg Lu
1 1 1 1
Direct
0.2500 0.2500 0.2500
0.0000 0.0000 0.0000
0.7500 0.7500 0.7500
0.5000 0.5000 0.5000
```

=====

19.
ErMgCuHg after structural relaxation, computed with PBE.

Summary:
VASP energy: -11.81 eV for the cell shown
DFT formation energy: -0.313 eV per atom

Structure (POSCAR):
```
ErMgCuHg
1.0
-3.0049 3.6349 -1.2296
-4.7696 -0.3591 0.9355
-2.0191 2.7702 3.4645
Cu Hg Er Mg
1 1 1 1
Direct
0.2500 0.2500 0.2500
0.7500 0.7500 0.7500
0.0000 0.0000 0.0000
0.5000 0.5000 0.5000
```

=====

20.
NaErCuHg after structural relaxation, computed with PBE.

Summary:
VASP energy: -10.58 eV for the cell shown
DFT formation energy: -0.076 eV per atom

Structure (POSCAR):
```
NaErCuHg
1.0
-3.4248 3.2971 1.5206
-0.7170 0.7839 4.8768
1.4315 4.3093 2.0719
Hg Cu Er Na
1 1 1 1
Direct
0.7500 0.7500 0.7500
0.2500 0.2500 0.2500
0.0000 0.0000 0.0000
0.5000 0.5000 0.5000
```

=====

no.,calculated volume (Å³ per cell)
1,389.6
2,258.7
3,300.6
4,293.7
5,439.4
6,255.0
7,177.1
8,259.7
9,253.6
10,254.7
11,342.5
12,91.0
13,182.5
14,92.3
15,91.6
16,84.3
17,79.5
18,90.1
19,81.9
20,87.9